1.
Below is a relaxed Ca2Ga8Sn crystal, with properties calculated at the PBE level.

Computed properties:
Energy relative to the elements ... -0.182 eV/atom
Fermi-level density of states ... 5.40 states/eV/f.u.

abc: 7.8949 16.1025 4.4427
angles: 90.00 120.09 90.00
With the nearest neighbours (Å) after each atom.
Space group C2/m (No. 12)
Inequivalent atoms, fractional coordinates:
Ca: 0.0000 0.1876 0.0000 [4 per cell]  10 Ga 3.05-3.30
Ga: 0.0000 0.3173 0.5000 [4 per cell]  4 Ga 2.70-2.85, 1 Sn 2.94
Ga: 0.1031 0.0000 0.8496 [4 per cell]  4 Ga 2.57-2.69
Ga: 0.2038 0.3734 0.2022 [8 per cell]  4 Ga 2.62-2.85
Sn: 0.0000 0.5000 0.5000 [2 per cell]  8 Ga 2.94-3.26

2.
Below is a relaxed K3Ca2RuO6 crystal, with properties calculated at the PBE level.

Computed properties:
Uncorrected energy ... -5.709 eV/atom

abc: 5.8566 10.1356 6.4346
angles: 90.00 107.78 90.00
With the nearest neighbours (Å) after each atom.
Space group C2/m (No. 12)
Inequivalent atoms, fractional coordinates:
K: 0.0000 0.0000 0.0000 [2 per cell]  6 O 2.66-2.94
K: 0.0000 0.3331 0.0000 [4 per cell]  6 O 2.67-2.93
Ca: 0.0000 0.1666 0.5000 [4 per cell]  6 O 2.38
Ru: 0.0000 0.5000 0.5000 [2 per cell]  6 O 2.04
O: 0.2068 0.3551 0.6848 [8 per cell]  1 Ru 2.04
O: 0.2276 0.5000 0.3154 [4 per cell]  1 Ru 2.04